Compound: TmCr2IO8
Source: Alexandria
Functional: GGA+U
Structure: relaxed

abc: 6.641 6.644 6.443
angles: 90.00 90.00 90.00
Space group Cmmm (No. 65)
Asymmetric unit:
Tm  0.000  0.000  0.000 (multiplicity 2)
Cr  0.000  0.500  0.245 (multiplicity 4)
I  0.000  0.000  0.500 (multiplicity 2)
O  0.000  0.193  0.281 (multiplicity 8)
O  0.178  0.500  0.000 (multiplicity 4)
O  0.209  0.500  0.500 (multiplicity 4)

## Properties
- final energy (eV per atom) = -6.654
- Fermi-level density of states (states/eV per atom) = 0.1124